# 1
DFT (PBE) results for a relaxed CuGe4Os crystal.

Cell lengths 6.144, 6.144, 6.760 Å; angles 117.03, 117.03, 90.00 degrees
Sites, in units of the cell vectors:
Cu 0.500 0.500 0.000
Cu 0.000 0.000 0.000
Ge 0.487 0.987 0.272
Ge 0.987 0.785 0.272
Ge 0.285 0.487 0.272
Ge 0.715 0.513 0.728
Ge 0.013 0.215 0.728
Ge 0.513 0.013 0.728
Ge 0.215 0.715 0.728
Ge 0.785 0.285 0.272
Os 0.250 0.250 0.500
Os 0.750 0.750 0.500

Summary:
energy relative to the elements: 0.0028 eV/atom



# 2
DFT (PBE) results for a relaxed Cu2GeOs2 crystal.

Cell lengths 5.903, 5.903, 3.930 Å; angles 90.00, 90.00, 90.00 degrees
Sites, in units of the cell vectors:
Ge 0.000 0.000 0.000
Ge 0.500 0.500 0.000
Os 0.168 0.668 0.500
Os 0.668 0.832 0.500
Os 0.832 0.332 0.500
Os 0.332 0.168 0.500
Cu 0.365 0.865 0.000
Cu 0.865 0.635 0.000
Cu 0.635 0.135 0.000
Cu 0.135 0.365 0.000

Summary:
energy relative to the elements: 0.6529 eV/atom
ΔE to the lowest computed polymorph: 0 meV per atom



# 3
DFT (PBE) results for a relaxed PmCuGe2Os crystal.

Cell lengths 4.124, 4.124, 6.074 Å; angles 109.84, 109.84, 90.00 degrees
Sites, in units of the cell vectors:
Pm 0.000 0.000 0.000
Cu 0.250 0.750 0.500
Ge 0.622 0.622 0.245
Ge 0.378 0.378 0.755
Os 0.750 0.250 0.500

Summary:
energy relative to the elements: -0.3594 eV/atom



# 4
DFT (PBE) results for a relaxed CuReGe2Os crystal.

Cell lengths 4.674, 4.795, 4.674 Å; angles 90.00, 90.00, 90.00 degrees
Site moments in Bohr magnetons follow the coordinates.
Sites, in units of the cell vectors:
Re 0.500 0.500 0.500  3.35
Ge 0.000 0.000 0.500  -0.03
Ge 0.500 0.000 0.000  -0.01
Os 0.000 0.000 0.000  0.41
Cu 0.000 0.500 0.000  0.11

Summary:
energy relative to the elements: 1.4654 eV/atom



# 5
DFT (PBE) results for a relaxed SmCuGe2Os crystal.

Cell lengths 4.117, 4.117, 6.056 Å; angles 109.87, 109.87, 90.00 degrees
Sites, in units of the cell vectors:
Sm 0.000 0.000 0.000
Cu 0.750 0.250 0.500
Ge 0.622 0.622 0.244
Ge 0.378 0.378 0.756
Os 0.250 0.750 0.500

Summary:
energy relative to the elements: -0.3570 eV/atom



# 6
DFT (PBE) results for a relaxed VCuGeOs crystal.

Cell lengths 4.259, 4.259, 4.259 Å; angles 60.00, 60.00, 60.00 degrees
Sites, in units of the cell vectors:
Ge 0.000 0.000 0.000
Os 0.750 0.750 0.750
Cu 0.250 0.250 0.250
V 0.500 0.500 0.500

Summary:
energy relative to the elements: 0.0113 eV/atom



| no. | calculated total energy (eV per cell) | theoretical density (g/cm3) |
| --- | --- | --- |
| 1 | -67.557 | 9.25 |
| 2 | -64.010 | 14.07 |
| 3 | -31.108 | 9.97 |
| 4 | -29.682 | 9.28 |
| 5 | -31.065 | 10.13 |
| 6 | -29.017 | 11.47 |